The following is a DFT calculation (PBE) of a relaxed AlGaC3 crystal.

Mass density, kg/m3: 3489
E_form, eV per atom: 2.5777
E above lowest polymorph, meV per atom: 343.8
Energy, eV per atom: -4.311

Cell and atoms, written as POSCAR:
```
AlGaC3
1.0
-0.9750 2.3178 3.0885
-0.5999 -3.2377 2.2403
3.8146 0.0833 1.1418
C Al Ga
3 1 1
direct
0.0000 0.5000 0.0000 C
0.0000 0.0000 0.5000 C
0.5000 0.0000 0.0000 C
0.5000 0.5000 0.5000 Al
0.0000 0.0000 0.0000 Ga
```

The following is a DFT calculation (PBE) of a relaxed Be2CuHg crystal.

Mass density, kg/m3: 9322
E_form, eV per atom: 0.3173
Energy, eV per atom: -2.645

Cell and atoms, written as POSCAR:
```
Be2CuHg
1.0
-2.9952 3.3472 -0.9088
-1.0179 0.1906 -4.4642
0.0587 -3.4104 3.0606
Be Hg Cu
2 1 1
direct
0.0000 0.0000 0.0000 Be
0.2500 0.7500 0.5000 Be
0.7500 0.2500 0.5000 Hg
0.5000 0.5000 0.0000 Cu
```

The following is a DFT calculation (PBE) of a relaxed Ac3La2In crystal.

Mass density, kg/m3: 7793
E_form, eV per atom: -0.1156
Energy, eV per atom: -4.269

Cell and atoms, written as POSCAR:
```
Ac3La2In
1.0
5.2113 0.0000 0.0000
0.0000 5.0373 -1.7032
0.0000 0.1257 8.6726
Ac La In
3 2 1
direct
0.5000 0.1618 0.3236 Ac
0.5000 0.5000 0.0000 Ac
0.5000 0.8382 0.6764 Ac
0.0000 0.6627 0.3255 La
0.0000 0.3373 0.6745 La
0.0000 0.0000 0.0000 In
```

Question: Which value of energy does entry 1 give?
Answer: -4.311 eV per atom

Question: The lowest E_form belongs to which entry?
Answer: Ac3La2In

Question: energy of number 1 (AlGaC3)?
Answer: -4.311 eV per atom

Please write out number 2 again, unchanged.
The following is a DFT calculation (PBE) of a relaxed Be2CuHg crystal.

Mass density, kg/m3: 9322
E_form, eV per atom: 0.3173
Energy, eV per atom: -2.645

Cell and atoms, written as POSCAR:
```
Be2CuHg
1.0
-2.9952 3.3472 -0.9088
-1.0179 0.1906 -4.4642
0.0587 -3.4104 3.0606
Be Hg Cu
2 1 1
direct
0.0000 0.0000 0.0000 Be
0.2500 0.7500 0.5000 Be
0.7500 0.2500 0.5000 Hg
0.5000 0.5000 0.0000 Cu
```